(1)
Density functional theory data (GGA-PBE) for a geometry-optimized CaTlInSn structure.

## Properties
ΔE_f   -22.0 kJ per mole of atoms
Excess energy over the best structure of this formula in the dataset   93 meV/atom
SG   F-43m

Cell: 5.463 5.463 5.463 Å, 60.00 60.00 60.00°
Atoms (fractional coordinates):
Tl1 0.250 0.250 0.250
In1 0.500 0.500 0.500
Sn1 0.750 0.750 0.750
Ca1 0.000 0.000 0.000

=====

(2)
Density functional theory data (GGA-PBE) for a geometry-optimized Sc6ZnSe3S2 structure.

## Properties
SG   C2/m
Formation energy (no corrections)   -1.474 eV per atom

Cell: 6.581 6.581 6.638 Å, 99.51 99.51 119.94°
Atoms (fractional coordinates):
Sc1 0.923 0.585 0.765
Sc2 0.740 0.740 0.232
Sc3 0.077 0.415 0.235
Se1 0.500 0.500 0.500
S1 0.334 0.666 0.000
S2 0.666 0.334 0.000
Zn1 0.000 0.000 0.000
Sc4 0.585 0.923 0.765
Sc5 0.260 0.260 0.768
Sc6 0.415 0.077 0.235
Se2 0.166 0.834 0.500
Se3 0.834 0.166 0.500

=====

(3)
Density functional theory data (GGA-PBE) for a geometry-optimized Hf3CdC structure.

## Properties
ΔE_f   -29.1 kJ per mole of atoms
Excess energy over the best structure of this formula in the dataset   133 meV/atom
SG   Pmma

Cell: 6.375 5.431 5.488 Å, 90.00 90.00 90.03°
Atoms (fractional coordinates):
Hf1 0.300 0.252 0.328
Hf2 0.537 0.753 0.178
Cd1 0.037 0.252 0.811
Hf3 0.774 0.753 0.674
Hf4 0.300 0.752 0.674
Hf5 0.537 0.253 0.824
Hf6 0.774 0.253 0.328
C1 0.537 0.503 0.501
C2 0.537 0.003 0.501
Cd2 0.037 0.753 0.191